No. 1
# BeCoAsO, optimized geometry, DFT PBE+U
data_BeCoAsO
_symmetry_space_group_name_H-M 'P m m a'
_symmetry_Int_Tables_number 51
_cell_length_a 6.050
_cell_length_b 2.802
_cell_length_c 5.928
_cell_angle_alpha 90.00
_cell_angle_beta 90.00
_cell_angle_gamma 90.00
loop_
_symmetry_equiv_pos_as_xyz
'x,y,z'
'-x,-y,-z'
'-x+1/2,-y,z'
'x+1/2,y,-z'
'x+1/2,-y,-z'
'-x+1/2,y,z'
'-x,y,-z'
'x,-y,z'
loop_
_atom_site_label
_atom_site_type_symbol
_atom_site_fract_x
_atom_site_fract_y
_atom_site_fract_z
Be1 Be 0.250 0.000 0.116
Co1 Co 0.000 0.500 0.500
As1 As 0.250 0.000 0.721
O1 O 0.250 0.500 0.214
# DFT total energy: -5.525 eV/atom



No. 2
# BeCoAsO, optimized geometry, DFT PBE+U
data_BeCoAsO
_symmetry_space_group_name_H-M 'P 4/n m m'
_symmetry_Int_Tables_number 129
_cell_length_a 3.439
_cell_length_b 3.439
_cell_length_c 8.678
_cell_angle_alpha 90.00
_cell_angle_beta 90.00
_cell_angle_gamma 90.00
loop_
_symmetry_equiv_pos_as_xyz
'x,y,z'
'-x,-y,-z'
'-y+1/2,x,z'
'y+1/2,-x,-z'
'-x+1/2,-y+1/2,z'
'x+1/2,y+1/2,-z'
'y,-x+1/2,z'
'-y,x+1/2,-z'
'x+1/2,-y,-z'
'-x+1/2,y,z'
'-y,-x,-z'
'y,x,z'
'-x,y+1/2,-z'
'x,-y+1/2,z'
'y+1/2,x+1/2,-z'
'-y+1/2,-x+1/2,z'
loop_
_atom_site_label
_atom_site_type_symbol
_atom_site_fract_x
_atom_site_fract_y
_atom_site_fract_z
Be1 Be 0.250 0.250 0.010
Co1 Co 0.250 0.750 0.500
As1 As 0.250 0.250 0.331
O1 O 0.250 0.750 0.000
# DFT total energy: -5.463 eV/atom



No. 3
# BeCoAsO, optimized geometry, DFT PBE+U
data_BeCoAsO
_symmetry_space_group_name_H-M 'P 4/n m m'
_symmetry_Int_Tables_number 129
_cell_length_a 3.438
_cell_length_b 3.438
_cell_length_c 8.729
_cell_angle_alpha 90.00
_cell_angle_beta 90.00
_cell_angle_gamma 90.00
loop_
_symmetry_equiv_pos_as_xyz
'x,y,z'
'-x,-y,-z'
'-y+1/2,x,z'
'y+1/2,-x,-z'
'-x+1/2,-y+1/2,z'
'x+1/2,y+1/2,-z'
'y,-x+1/2,z'
'-y,x+1/2,-z'
'x+1/2,-y,-z'
'-x+1/2,y,z'
'-y,-x,-z'
'y,x,z'
'-x,y+1/2,-z'
'x,-y+1/2,z'
'y+1/2,x+1/2,-z'
'-y+1/2,-x+1/2,z'
loop_
_atom_site_label
_atom_site_type_symbol
_atom_site_fract_x
_atom_site_fract_y
_atom_site_fract_z
Be1 Be 0.250 0.250 0.009
Co1 Co 0.250 0.750 0.500
As1 As 0.250 0.250 0.332
O1 O 0.250 0.750 0.000
# DFT total energy: -5.464 eV/atom



No. 4
# BeCoAsO, optimized geometry, DFT PBE+U
data_BeCoAsO
_symmetry_space_group_name_H-M 'P m c 21'
_symmetry_Int_Tables_number 26
_cell_length_a 3.122
_cell_length_b 6.595
_cell_length_c 5.110
_cell_angle_alpha 90.00
_cell_angle_beta 90.00
_cell_angle_gamma 90.00
loop_
_symmetry_equiv_pos_as_xyz
'x,y,z'
'-x,-y,z+1/2'
'-x,y,z'
'x,-y,z+1/2'
loop_
_atom_site_label
_atom_site_type_symbol
_atom_site_fract_x
_atom_site_fract_y
_atom_site_fract_z
Be1 Be 0.000 0.099 0.000
Co1 Co 0.500 0.280 0.377
As1 As 0.500 0.353 0.845
O1 O 0.000 0.083 0.305
# DFT total energy: -5.420 eV/atom



No. 5
# BeCoAsO, optimized geometry, DFT PBE+U
data_BeCoAsO
_symmetry_space_group_name_H-M 'P 4/n m m'
_symmetry_Int_Tables_number 129
_cell_length_a 3.577
_cell_length_b 3.577
_cell_length_c 8.646
_cell_angle_alpha 90.00
_cell_angle_beta 90.00
_cell_angle_gamma 90.00
loop_
_symmetry_equiv_pos_as_xyz
'x,y,z'
'-x,-y,-z'
'-y+1/2,x,z'
'y+1/2,-x,-z'
'-x+1/2,-y+1/2,z'
'x+1/2,y+1/2,-z'
'y,-x+1/2,z'
'-y,x+1/2,-z'
'x+1/2,-y,-z'
'-x+1/2,y,z'
'-y,-x,-z'
'y,x,z'
'-x,y+1/2,-z'
'x,-y+1/2,z'
'y+1/2,x+1/2,-z'
'-y+1/2,-x+1/2,z'
loop_
_atom_site_label
_atom_site_type_symbol
_atom_site_fract_x
_atom_site_fract_y
_atom_site_fract_z
Be1 Be 0.250 0.750 0.000
Co1 Co 0.250 0.250 0.404
As1 As 0.250 0.250 0.830
O1 O 0.250 0.750 0.500
# DFT total energy: -4.855 eV/atom



Taking the records one at a time from the top gives total magnetic moment values of 3.93 0.00 0.00 5.01 5.19 Bohr magnetons per cell.